No. 1
DFT (PBE) results for NaGd2Hg after structural relaxation.

Lattice parameters (Å, degrees): 4.0492 5.2386 5.2386 90.00 90.00 90.00
With the nearest neighbours (Å) after each atom.
Fractional coordinates of all 4 atoms:
1 Gd 0.0000 0.5000 0.0000  4 Na 3.31, 4 Hg 3.31, 4 Gd 3.70
2 Gd 0.0000 0.0000 0.5000  4 Hg 3.31, 4 Na 3.31, 4 Gd 3.70
3 Na 0.5000 0.0000 0.0000  8 Gd 3.31, 4 Hg 3.70
4 Hg 0.5000 0.5000 0.5000  8 Gd 3.31, 4 Na 3.70

Total magnetic moment in μB/cell: 15.1
V in Å³/f.u.: 111.1
Energy relative to the lowest polymorph listed for this composition in eV/atom: 0.016
Density of states at the Fermi level in states/eV/f.u.: 4.9
Formation enthalpy at 0 K in eV per atom: -0.087

=====

No. 2
DFT (PBE) results for HfTi5Sn6 after structural relaxation.

Lattice parameters (Å, degrees): 5.5002 7.3519 8.2825 63.65 75.45 55.53
With the nearest neighbours (Å) after each atom.
Fractional coordinates of all 12 atoms:
1 Hf 0.0000 0.0000 0.0000  6 Sn 2.91-2.98, 2 Ti 3.10
2 Sn 0.7463 0.0830 0.3405  5 Ti 2.85-2.96, 1 Hf 2.98, 2 Sn 3.06-3.15
3 Sn 0.2581 0.2529 0.0000  5 Ti 2.79-2.90, 1 Hf 2.91, 2 Sn 3.10-3.12
4 Sn 0.2537 0.5765 0.3405  5 Ti 2.85-2.96, 1 Hf 2.98, 2 Sn 3.06-3.15
5 Sn 0.2537 0.9170 0.6595  5 Ti 2.85-2.96, 1 Hf 2.98, 2 Sn 3.06-3.15
6 Sn 0.7419 0.7471 0.0000  5 Ti 2.79-2.90, 1 Hf 2.91, 2 Sn 3.10-3.12
7 Sn 0.7463 0.4235 0.6595  5 Ti 2.85-2.96, 1 Hf 2.98, 2 Sn 3.06-3.15
8 Ti 0.5000 0.1649 0.6702  6 Sn 2.86-2.90, 2 Ti 3.10
9 Ti 0.5000 0.8351 0.3298  6 Sn 2.86-2.90, 2 Ti 3.10
10 Ti 0.5000 0.5000 0.0000  6 Sn 2.79-2.96, 2 Hf 3.10
11 Ti 0.0000 0.6650 0.6699  6 Sn 2.85-2.91, 2 Ti 3.10
12 Ti 0.0000 0.3350 0.3301  6 Sn 2.85-2.91, 2 Ti 3.10

Total magnetic moment in μB/cell: 0.0
V in Å³/f.u.: 247.4
Density of states at the Fermi level in states/eV/f.u.: 4.8
Formation enthalpy at 0 K in eV per atom: -0.173

=====

No. 3
DFT (PBE) results for Ba5Na2Zn2 after structural relaxation.

Lattice parameters (Å, degrees): 9.0920 9.1107 11.0539 90.00 65.72 90.00
With the nearest neighbours (Å) after each atom.
Fractional coordinates of all 18 atoms:
1 Zn 0.1040 0.3962 0.0000  1 Zn 2.67
2 Zn 0.3960 0.8962 0.0000  1 Zn 2.67
3 Zn 0.6040 0.1038 0.0000  1 Zn 2.67
4 Zn 0.8960 0.6038 0.0000  1 Zn 2.67
5 Ba 0.9309 0.3144 0.7687  3 Zn 3.58-3.60, 3 Na 3.99
6 Ba 0.4309 0.1856 0.7687  3 Zn 3.58-3.60, 3 Na 3.99
7 Ba 0.0691 0.6856 0.2313  3 Zn 3.58-3.60, 3 Na 3.99
8 Ba 0.5000 0.5000 0.0000  4 Zn 3.72-3.73, 8 Ba 4.06
9 Ba 0.8004 0.8144 0.7687  3 Zn 3.58-3.60, 3 Na 3.99
10 Ba 0.6996 0.3144 0.2313  3 Zn 3.58-3.60, 3 Na 3.99
11 Ba 0.1996 0.1856 0.2313  3 Zn 3.58-3.60, 3 Na 3.99
12 Ba 0.0000 0.0000 0.0000  4 Zn 3.72-3.73, 8 Ba 4.06
13 Ba 0.3004 0.6856 0.7687  3 Zn 3.58-3.60, 3 Na 3.99
14 Ba 0.5691 0.8144 0.2313  3 Zn 3.58-3.60, 3 Na 3.99
15 Na 0.2253 0.0000 0.5493  6 Ba 3.99
16 Na 0.7253 0.5000 0.5493  6 Ba 3.99
17 Na 0.7747 0.0000 0.4507  6 Ba 3.99
18 Na 0.2747 0.5000 0.4507  6 Ba 3.99

Total magnetic moment in μB/cell: 0.0
V in Å³/f.u.: 417.3
Density of states at the Fermi level in states/eV/f.u.: 9.2
Formation enthalpy at 0 K in eV per atom: -0.047

=====

No. 4
DFT (PBE) results for CeNpAg2O6 after structural relaxation.

Lattice parameters (Å, degrees): 4.2730 6.1578 6.1578 90.00 90.00 90.00
With the nearest neighbours (Å) after each atom.
Fractional coordinates of all 10 atoms:
1 O 0.6921 0.7643 0.2357  1 Np 2.05
2 O 0.1804 0.0000 0.0000  2 Np 2.13-2.14
3 O 0.6921 0.2357 0.7643  1 Np 2.05
4 O 0.6921 0.7643 0.7643  1 Np 2.05
5 O 0.6921 0.2357 0.2357  1 Np 2.05
6 O 0.1548 0.5000 0.5000  2 Ce 2.10-2.17
7 Ag 0.0086 0.0000 0.5000  4 O 2.57
8 Ag 0.0086 0.5000 0.0000  4 O 2.57
9 Ce 0.6471 0.5000 0.5000  6 O 2.10-2.31
10 Np 0.6791 0.0000 0.0000  6 O 2.05-2.14

Total magnetic moment in μB/cell: 1.0
Formation energy from raw total energies in eV/atom: -2.03
V in Å³/f.u.: 162.0
Density of states at the Fermi level in states/eV/f.u.: 0.3

=====

No. 5
DFT (PBE) results for BeSi2Pd8 after structural relaxation.

Lattice parameters (Å, degrees): 3.9518 7.0456 6.9910 120.26 106.42 90.00
With the nearest neighbours (Å) after each atom.
Fractional coordinates of all 11 atoms:
1 Pd 0.6639 0.4455 0.3278  3 Si 2.52-2.58, 1 Be 2.73, 5 Pd 2.73-2.82
2 Pd 0.8703 0.8703 0.7406  2 Be 2.47, 2 Pd 2.67
3 Pd 0.0000 0.3161 0.0000  2 Si 2.54, 7 Pd 2.59-2.73
4 Pd 0.3361 0.5545 0.6722  3 Si 2.52-2.58, 1 Be 2.73, 5 Pd 2.73-2.82
5 Pd 0.1297 0.1297 0.2594  2 Be 2.47, 2 Pd 2.67
6 Pd 0.3361 0.1177 0.6722  3 Si 2.52-2.58, 1 Be 2.73, 5 Pd 2.73-2.82
7 Pd 0.0000 0.6839 0.0000  2 Si 2.54, 7 Pd 2.59-2.73
8 Pd 0.6639 0.8823 0.3278  3 Si 2.52-2.58, 1 Be 2.73, 5 Pd 2.73-2.82
9 Si 0.1914 0.6914 0.3828  8 Pd 2.52-2.58
10 Si 0.8086 0.3086 0.6172  8 Pd 2.52-2.58
11 Be 0.5000 0.0000 0.0000  8 Pd 2.47-2.73

Total magnetic moment in μB/cell: 0.0
Formation energy from raw total energies in eV/atom: -0.46
V in Å³/f.u.: 158.9
Energy relative to the lowest polymorph listed for this composition in eV/atom: 0.043
Density of states at the Fermi level in states/eV/f.u.: 4.1

=====

No. 6
DFT (PBE) results for Rb2Tl15In2 after structural relaxation.

Lattice parameters (Å, degrees): 8.7172 8.7172 8.7172 81.88 81.88 81.88
With the nearest neighbours (Å) after each atom.
Fractional coordinates of all 19 atoms:
1 Tl 0.7092 0.0000 0.2908  8 Tl 3.32-3.64, 2 In 3.69
2 Tl 0.5000 0.0000 0.0000  8 Tl 3.32-3.33, 2 In 3.52
3 Tl 0.0000 0.2908 0.7092  8 Tl 3.32-3.64, 2 In 3.69
4 Tl 0.3548 0.3548 0.8542  8 Tl 3.32-3.64, 1 In 3.67
5 Tl 0.6452 0.6452 0.1458  8 Tl 3.32-3.64, 1 In 3.67
6 Tl 0.8542 0.3548 0.3548  8 Tl 3.32-3.64, 1 In 3.67
7 Tl 0.7092 0.2908 0.0000  8 Tl 3.32-3.64, 2 In 3.69
8 Tl 0.0000 0.7092 0.2908  8 Tl 3.32-3.64, 2 In 3.69
9 Tl 0.2908 0.0000 0.7092  8 Tl 3.32-3.64, 2 In 3.69
10 Tl 0.0000 0.5000 0.0000  8 Tl 3.32-3.33, 2 In 3.52
11 Tl 0.6452 0.1458 0.6452  8 Tl 3.32-3.64, 1 In 3.67
12 Tl 0.0000 0.0000 0.5000  8 Tl 3.32-3.33, 2 In 3.52
13 Tl 0.3548 0.8542 0.3548  8 Tl 3.32-3.64, 1 In 3.67
14 Tl 0.2908 0.7092 0.0000  8 Tl 3.32-3.64, 2 In 3.69
15 Tl 0.1458 0.6452 0.6452  8 Tl 3.32-3.64, 1 In 3.67
16 In 0.9059 0.9059 0.9059  1 In 3.22, 3 Tl 3.52
17 In 0.0941 0.0941 0.0941  1 In 3.22, 3 Tl 3.52
18 Rb 0.3371 0.3371 0.3371  18 Tl 4.07-4.56, 1 In 4.16
19 Rb 0.6629 0.6629 0.6629  18 Tl 4.07-4.56, 1 In 4.16

Total magnetic moment in μB/cell: 0.0
V in Å³/f.u.: 644.2
Density of states at the Fermi level in states/eV/f.u.: 8.4
Formation enthalpy at 0 K in eV per atom: -0.018

=====

No. 7
DFT (PBE) results for PmZrTe2 after structural relaxation.

Lattice parameters (Å, degrees): 3.9348 3.9348 10.1713 78.85 78.85 60.00
With the nearest neighbours (Å) after each atom.
Fractional coordinates of all 4 atoms:
1 Zr 0.5000 0.5000 0.5000  6 Te 2.92
2 Pm 0.0000 0.0000 0.0000  2 Te 3.12
3 Te 0.8951 0.8951 0.3147  3 Zr 2.92, 1 Pm 3.12
4 Te 0.1049 0.1049 0.6853  3 Zr 2.92, 1 Pm 3.12

Total magnetic moment in μB/cell: 0.0
Formation energy from raw total energies in eV/atom: -0.64
V in Å³/f.u.: 132.9
Energy relative to the lowest polymorph listed for this composition in eV/atom: 0.350
Density of states at the Fermi level in states/eV/f.u.: 3.9

=====

No. 8
DFT (PBE) results for ScNbGa2 after structural relaxation.

Lattice parameters (Å, degrees): 3.9651 4.1972 4.1972 90.00 90.00 90.00
With the nearest neighbours (Å) after each atom.
Fractional coordinates of all 4 atoms:
1 Ga 0.0000 0.0000 0.5000  4 Sc 2.89, 4 Nb 2.89, 4 Ga 2.97
2 Ga 0.0000 0.5000 0.0000  4 Sc 2.89, 4 Nb 2.89, 4 Ga 2.97
3 Sc 0.5000 0.0000 0.0000  8 Ga 2.89, 4 Nb 2.97
4 Nb 0.5000 0.5000 0.5000  8 Ga 2.89, 4 Sc 2.97

Total magnetic moment in μB/cell: 0.0
V in Å³/f.u.: 69.9
Energy relative to the lowest polymorph listed for this composition in eV/atom: 0.037
Density of states at the Fermi level in states/eV/f.u.: 3.2
Formation enthalpy at 0 K in eV per atom: -0.372